Entry 1:
5
Lattice="-4.5474 -1.3648 -2.2885 2.0195 -4.7166 -1.2002 -1.5889 -1.7493 4.2005" Properties=species:S:1:pos:R:3 comment="La2CeAgC, relaxed, DFT PBE" delta_e_f_ev_per_atom=-0.06 magnetic_moment_mub_per_fu=0.39 pbc="T T T"
Ag -2.0576 -3.9147 0.3539
La -0.5788 -4.1072 3.5995
La -0.2545 -5.3991 -2.3437
Ce 1.2249 -5.5914 0.9007
C -0.0006 -0.0007 0.0016


Entry 2:
5
Lattice="4.9151 0.0000 0.0000 0.0000 4.9148 0.0000 0.0000 0.0002 5.2671" Properties=species:S:1:pos:R:3 comment="LaCe2AgC, relaxed, DFT PBE" delta_e_f_ev_per_atom=-0.05 magnetic_moment_mub_per_fu=1.23 pbc="T T T"
C 0.0000 0.0000 0.0009
Ag 2.4576 2.4577 2.6312
Ce 0.0000 2.4576 5.2658
Ce 2.4576 4.9147 0.0023
La 0.0000 4.9149 2.6341


Entry 3:
16
Lattice="5.6481 0.4994 -0.1527 -1.1711 5.5479 -0.1527 -2.0569 -2.7784 7.3143" Properties=species:S:1:pos:R:3 comment="CeAgCO5, relaxed, DFT PBE" formation_energy_uncorrected_mev_per_atom=-1586.5 magnetic_moment_mub_per_fu=1.02 pbc="T T T"
O 3.4338 -1.0872 5.3330
O 3.0452 0.3578 2.4888
O -0.2322 0.6538 4.5409
O -0.6252 2.9111 4.5201
O 2.6522 2.6150 2.4681
O 3.9952 1.6410 0.8630
O -1.5752 1.6278 6.1459
O 1.7216 1.3580 0.8837
O 0.6984 1.9109 6.1252
O -1.0137 4.3560 1.6759
Ag 0.6759 3.1051 1.6759
Ag 1.7441 0.1637 5.3330
C -0.4839 1.8132 5.3330
C 2.9039 1.4557 1.6759
Ce -1.0285 -1.3892 3.6571
Ce 0.0000 0.0000 0.0000


Entry 4:
5
Lattice="4.9044 0.0000 0.0000 0.0000 4.9048 0.0000 0.0000 0.0002 5.1303" Properties=species:S:1:pos:R:3 comment="Ce2PmAgC, relaxed, DFT PBE" delta_e_f_ev_per_atom=-0.06 magnetic_moment_mub_per_fu=0.98 pbc="T T T"
Ag 2.4522 2.4527 2.5658
Ce 2.4522 4.9047 0.0000
Ce 0.0000 2.4526 5.1296
C 0.0000 0.0000 0.0003
Pm 0.0000 4.9049 2.5649


Entry 5:
5
Lattice="4.9010 0.0000 0.0000 0.0000 4.9010 0.0000 0.0000 0.0002 5.2368" Properties=species:S:1:pos:R:3 comment="Ce2PrAgC, relaxed, DFT PBE" delta_e_f_ev_per_atom=-0.04 magnetic_moment_mub_per_fu=1.03 pbc="T T T"
Pr 0.0000 4.9010 2.6181
Ce 0.0000 2.4506 5.2363
Ce 2.4505 4.9011 5.2363
C 0.0000 0.0000 0.0003
Ag 2.4505 2.4508 2.6194


Entry 6:
5
Lattice="4.9868 0.0000 0.0000 0.0000 4.9868 0.0000 0.0000 0.0002 4.5377" Properties=species:S:1:pos:R:3 comment="Ce2ScAgC, relaxed, DFT PBE" delta_e_f_ev_per_atom=-0.14 magnetic_moment_mub_per_fu=1.34 pbc="T T T"
Sc 0.0000 4.9868 2.2688
Ce 2.4934 4.9867 0.0004
Ce 0.0000 2.4934 0.0001
C 0.0000 0.0002 4.5374
Ag 2.4934 2.4937 2.2684


Entry 7:
4
Lattice="3.6184 0.0009 -0.0013 -1.8076 3.1322 0.0000 -1.8119 -1.0456 7.9969" Properties=species:S:1:pos:R:3 comment="CeThAgC, relaxed, DFT PBE" delta_e_f_ev_per_atom=-0.15 magnetic_moment_mub_per_fu=0.66 pbc="T T T"
Th -1.4644 2.9040 0.3910
Ag 2.1492 0.8152 2.9689
Ce 0.3390 -0.2303 5.4852
C -1.4687 0.8141 6.9036


Entry 8:
5
Lattice="-1.4272 0.5269 4.6922 2.7554 -3.8876 1.2747 3.8425 2.9961 0.8323" Properties=species:S:1:pos:R:3 comment="Ce2YAgC, relaxed, DFT PBE" delta_e_f_ev_per_atom=-0.10 magnetic_moment_mub_per_fu=1.25 pbc="T T T"
Y 4.6763 -2.3898 1.6907
Ce 5.8841 -0.6281 4.4530
Ce 5.2197 1.0519 1.4695
C 3.8422 2.9958 0.8322
Ag 2.5869 -0.1813 3.3999


Entry 9:
5
Lattice="-2.3256 1.8270 2.5647 -2.8674 -2.5462 -0.7863 1.3012 -2.3458 2.8510" Properties=species:S:1:pos:R:3 comment="AgC3Cl, relaxed, DFT PBE" formation_energy_uncorrected_mev_per_atom=3447.5 e_above_lowest_polymorph_mev_per_atom=61 magnetic_moment_mub_per_fu=0.00 pbc="T T T"
Cl 0.0000 0.0000 0.0000
C -1.1628 0.9135 1.2823
C 0.6506 -1.1729 1.4255
C -1.4337 -1.2731 -0.3932
Ag -1.9459 -1.5325 2.3146


Entry 10:
5
Lattice="4.2605 0.0000 0.0000 0.0000 4.2605 0.0000 0.0000 0.0000 4.2605" Properties=species:S:1:pos:R:3 comment="AgC3Cl, relaxed, DFT PBE" formation_energy_uncorrected_mev_per_atom=3386.8 e_above_lowest_polymorph_mev_per_atom=0 magnetic_moment_mub_per_fu=2.93 pbc="T T T"
C 0.0000 2.1302 0.0000
C 0.0000 0.0000 2.1302
C 2.1302 0.0000 0.0000
Ag 0.0000 0.0000 0.0000
Cl 2.1302 2.1302 2.1302


Entry 11:
4
Lattice="0.0000 3.2069 3.2069 3.2069 0.0000 3.2069 3.2069 3.2069 0.0000" Properties=species:S:1:pos:R:3 comment="Ag2CCl, relaxed, DFT PBE" formation_energy_uncorrected_mev_per_atom=1477.9 e_above_lowest_polymorph_mev_per_atom=560 magnetic_moment_mub_per_fu=1.36 pbc="T T T"
C 0.0000 0.0000 0.0000
Ag 1.6034 1.6034 1.6034
Ag 4.8103 4.8103 4.8103
Cl 3.2069 3.2069 3.2069


Entry 12:
8
Lattice="5.9521 0.0000 0.0000 0.0000 5.9521 0.0000 2.9761 2.9761 4.4259" Properties=species:S:1:pos:R:3 comment="Ag2CCl, relaxed, DFT PBE" formation_energy_uncorrected_mev_per_atom=918.3 e_above_lowest_polymorph_mev_per_atom=0 magnetic_moment_mub_per_fu=0.00 pbc="T T T"
Ag 3.9529 1.4880 1.1065
Ag 4.4641 4.9753 3.3195
Ag 7.4402 6.9290 3.3195
Ag 1.9992 4.4641 1.1065
C 2.9761 5.9521 2.2130
C 2.9761 2.9761 0.0000
Cl 5.9521 2.9761 2.2130
Cl 0.0000 0.0000 0.0000


Entry 13:
5
Lattice="-2.7528 4.8364 0.3532 -0.7748 -0.6683 3.1122 4.6665 2.5315 1.7055" Properties=species:S:1:pos:R:3 comment="AgCCl2F, relaxed, DFT PBE" formation_energy_uncorrected_mev_per_atom=1099.1 magnetic_moment_mub_per_fu=0.26 pbc="T T T"
F 0.0000 0.0000 0.0000
Cl 2.3333 1.2658 0.8527
Cl -1.3764 2.4182 0.1766
C -0.3874 -0.3342 1.5561
Ag 0.5694 3.3498 2.5854


Entry 14:
80
Lattice="7.5184 0.0000 0.0000 0.0000 8.5066 0.0000 0.0000 0.0000 16.9325" Properties=species:S:1:pos:R:3 comment="AgH4CSN2Cl, relaxed, DFT PBE" dft_energy_ev_per_cell=-410.5 magnetic_moment_mub_per_fu=0.00 pbc="T T T"
N 2.6238 4.8488 7.4071
N 6.3918 5.7099 6.7789
N 6.3918 1.4566 1.6874
N 2.6238 0.5955 1.0592
N 4.8858 5.7099 15.2452
N 4.8946 3.6578 9.5255
N 1.1266 7.0500 15.2452
N 6.3830 3.6578 1.0592
N 1.1354 0.5955 9.5255
N 4.8946 7.9111 15.8733
N 2.6326 7.0500 6.7789
N 4.8858 1.4566 10.1536
N 6.3830 7.9111 7.4071
N 1.1266 2.7967 10.1536
N 1.1354 4.8488 15.8733
N 2.6326 2.7967 1.6874
H 0.7820 3.0497 9.2191
H 6.3968 0.7396 2.4041
H 0.7820 7.3030 16.1797
H 6.7364 1.2036 0.7528
H 4.5412 5.4569 16.1797
H 2.9772 7.3030 7.7135
H 6.7364 5.4569 7.7135
H 2.6376 3.5137 2.4041
H 4.7197 7.5960 16.8332
H 4.8808 0.7396 10.8704
H 0.9605 5.1639 16.8332
H 2.9772 3.0497 0.7528
H 2.6358 3.8473 7.1900
H 2.7987 0.9106 0.0993
H 4.5412 1.2036 9.2191
H 6.3968 4.9929 6.0622
H 2.7987 5.1639 8.3670
H 1.1216 3.5137 10.8704
H 4.8826 0.4060 15.6563
H 2.6358 8.1006 1.2763
H 1.1216 7.7670 14.5284
H 1.1234 3.8473 15.6563
H 6.5579 7.5960 8.3670
H 6.3950 4.6593 1.2763
H 6.5579 3.3427 0.0993
H 0.9605 0.9106 8.5656
H 1.1234 8.1006 9.7425
H 4.7197 3.3427 8.5656
H 4.8826 4.6593 9.7425
H 2.6376 7.7670 6.0622
H 4.8808 4.9929 14.5284
H 6.3950 0.4060 7.1900
C 2.5136 5.7612 6.4494
C 5.0048 6.9987 14.9156
C 6.2728 6.9987 6.4494
C 1.2456 1.5079 10.4832
C 5.0048 2.7454 10.4832
C 1.2456 5.7612 14.9156
C 2.5136 1.5079 2.0169
C 6.2728 2.7454 2.0169
Cl 3.6351 5.9894 1.3600
Cl 0.1241 1.7361 15.5725
Cl 0.1241 5.9894 9.8263
Cl 3.8833 6.7705 9.8263
Cl 7.3943 6.7705 1.3600
Cl 3.6351 1.7361 7.1063
Cl 7.3943 2.5172 7.1063
Cl 3.8833 2.5172 15.5725
S 5.9923 3.2143 3.6714
S 2.2331 5.2923 4.7948
S 1.5261 1.0390 12.1377
S 5.9923 7.4676 4.7948
S 1.5261 5.2923 13.2611
S 5.2853 7.4676 13.2611
S 2.2331 1.0390 3.6714
S 5.2853 3.2143 12.1377
Ag 1.0625 2.9687 4.8753
Ag 6.4559 5.5380 12.0573
Ag 1.0625 7.2220 3.5910
Ag 6.4559 1.2846 13.3416
Ag 2.6967 2.9687 13.3416
Ag 2.6967 7.2220 12.0573
Ag 4.8217 1.2846 4.8753
Ag 4.8217 5.5380 3.5910


Entry 15:
5
Lattice="6.0644 0.0000 0.0000 0.0000 4.8536 0.0000 0.0000 0.0000 6.0644" Properties=species:S:1:pos:R:3 comment="AgCI2Cl, relaxed, DFT PBE" formation_energy_uncorrected_mev_per_atom=1721.3 magnetic_moment_mub_per_fu=1.36 pbc="T T T"
I 3.0322 0.0000 0.0000
I 0.0000 0.0000 3.0322
Ag 0.0000 2.4268 0.0000
C 3.0322 2.4268 3.0322
Cl 0.0000 0.0000 0.0000


Entry 16:
5
Lattice="4.1359 0.0000 0.0000 0.0000 6.1995 0.0000 0.0000 0.0000 4.1359" Properties=species:S:1:pos:R:3 comment="InAgC2Cl, relaxed, DFT PBE" formation_energy_uncorrected_mev_per_atom=1915.4 magnetic_moment_mub_per_fu=2.61 pbc="T T T"
In 0.0000 3.0998 0.0000
Cl 2.0679 3.0998 2.0679
Ag 0.0000 0.0000 0.0000
C 0.0000 0.0000 2.0679
C 2.0679 0.0000 0.0000


Entry 17:
16
Lattice="2.3593 2.4662 10.3096 -5.9968 5.5522 7.1517 -0.6626 -7.8349 -7.4908" Properties=species:S:1:pos:R:3 comment="AgC4NCl2, relaxed, DFT PBE" formation_energy_uncorrected_mev_per_atom=1815.4 magnetic_moment_mub_per_fu=1.53 pbc="T T T"
C -2.4877 -0.7526 7.0965
C -0.6570 1.2646 4.3898
C -1.7022 -5.3596 -3.7366
C -3.6432 -1.0810 5.5807
C 1.7697 0.7066 7.3133
C -6.0699 -0.5231 2.6572
C -1.8125 0.9362 2.8740
C -2.5979 5.5432 13.7072
N -3.0957 6.8240 14.8603
N -0.5418 1.1944 2.6011
Cl -4.8159 2.1347 6.9645
Cl -2.9585 -2.3160 0.4472
Cl 0.5157 -1.9512 3.0060
Cl -1.3417 2.4996 9.5233
Ag -0.8118 -3.2534 1.3249
Ag -3.4883 3.4369 8.6457


Entry 18:
7
Lattice="4.3800 0.0000 0.0000 -2.1900 3.8204 -0.3508 0.0000 -1.1529 10.6305" Properties=species:S:1:pos:R:3 comment="Ag2CCl2O2, relaxed, DFT PBE" formation_energy_uncorrected_mev_per_atom=-784.6 magnetic_moment_mub_per_fu=0.00 pbc="T T T"
C 0.0000 -0.5764 5.3152
Ag 0.0000 1.6788 9.1360
Ag 2.1900 0.9888 1.1436
Cl 2.1900 0.3300 8.8555
Cl 0.0000 2.3376 1.4241
O 0.0000 0.2576 4.4858
O 2.1900 2.4100 5.7939


Entry 19:
5
Lattice="5.0776 0.0000 0.0000 0.0000 5.0776 0.0000 0.0000 0.0000 4.8710" Properties=species:S:1:pos:R:3 comment="AgPCCl2, relaxed, DFT PBE" formation_energy_uncorrected_mev_per_atom=1842.5 e_above_lowest_polymorph_mev_per_atom=902 magnetic_moment_mub_per_fu=3.12 pbc="T T T"
Cl 2.5388 0.0000 0.0000
Cl 0.0000 2.5388 0.0000
C 2.5388 2.5388 2.4355
P 0.0000 0.0000 2.4355
Ag 0.0000 0.0000 0.0000


Entry 20:
5
Lattice="5.3210 0.0000 0.0000 0.0000 5.3210 0.0000 0.0000 0.0000 3.4550" Properties=species:S:1:pos:R:3 comment="AgPCCl2, relaxed, DFT PBE" formation_energy_uncorrected_mev_per_atom=940.3 e_above_lowest_polymorph_mev_per_atom=0 magnetic_moment_mub_per_fu=0.00 pbc="T T T"
P 0.0000 0.0000 1.7275
C 0.0000 0.0000 0.0000
Cl 0.0000 2.6605 0.0000
Cl 2.6605 0.0000 0.0000
Ag 2.6605 2.6605 1.7275


Entry 21:
5
Lattice="-3.5346 0.7553 -1.2034 -1.1819 -3.3538 1.3664 -1.5883 3.3057 6.7397" Properties=species:S:1:pos:R:3 comment="AgP2CCl, relaxed, DFT PBE" formation_energy_uncorrected_mev_per_atom=909.9 e_above_lowest_polymorph_mev_per_atom=0 magnetic_moment_mub_per_fu=0.03 pbc="T T T"
P -1.7673 0.3776 -0.6017
P -0.5909 -1.6769 0.6832
Ag -3.1523 0.3536 3.4514
C 0.0000 0.0000 0.0000
Cl -0.7941 1.6529 3.3699


Entry 22:
5
Lattice="4.8218 0.0000 0.0000 0.0000 4.8218 0.0000 0.0000 0.0000 4.9896" Properties=species:S:1:pos:R:3 comment="AgP2CCl, relaxed, DFT PBE" formation_energy_uncorrected_mev_per_atom=2245.6 e_above_lowest_polymorph_mev_per_atom=1336 magnetic_moment_mub_per_fu=2.08 pbc="T T T"
Cl 0.0000 0.0000 2.4948
C 2.4109 2.4109 2.4948
P 2.4109 0.0000 0.0000
P 0.0000 2.4109 0.0000
Ag 0.0000 0.0000 0.0000


Entry 23:
5
Lattice="-4.0250 2.1926 2.5041 -1.6159 -3.4195 0.3968 2.4804 -0.6441 4.5510" Properties=species:S:1:pos:R:3 comment="AgPtCCl2, relaxed, DFT PBE" formation_energy_uncorrected_mev_per_atom=587.3 magnetic_moment_mub_per_fu=0.00 pbc="T T T"
Ag -1.5803 -0.9355 3.7259
Cl 1.2402 -0.3221 2.2755
Cl -2.0125 1.0963 1.2520
Pt 0.0000 0.0000 0.0000
C -0.8080 -1.7097 0.1984